Li3Si2Au6: optimized geometry, PBE.

```
Li3Si2Au6
1.0
-2.3186 0.9751 -3.3228
-2.4779 -3.2606 0.7722
-4.3654 7.8678 7.9685
Li Si Au
3 2 6
direct
0.0000 0.0000 0.0000 Li
0.8437 0.8437 0.6874 Li
0.1563 0.1563 0.3126 Li
0.3745 0.3745 0.7489 Si
0.6255 0.6255 0.2511 Si
0.0666 0.5666 0.1333 Au
0.5666 0.0666 0.1333 Au
0.9334 0.4334 0.8667 Au
0.4334 0.9334 0.8667 Au
0.7269 0.7269 0.4537 Au
0.2731 0.2731 0.5463 Au
```

Output
The uncorrected formation energy comes out at -0.20 eV per atom. Its spin magnetization is 0.0 μB per cell. For the total energy, the calculation gives -38.49 eV for the cell shown.